Density functional theory data (PBE with a Hubbard U) for a geometry-optimized Li3Pm2FeO6 structure.

Lattice parameters (Å, degrees): 5.8793 5.8793 5.2944 98.11 98.11 122.25
With the nearest neighbours (Å) after each atom.
Sites, in units of the cell vectors:
1 Li 0.1141 0.8859 0.5000  4 O 2.04-2.12
2 Li 0.8859 0.1141 0.5000  4 O 2.04-2.12
3 Li 0.5000 0.5000 0.5000  6 O 2.19-2.39
4 Pm 0.3333 0.6667 0.0000  6 O 2.35-2.40
5 Pm 0.6667 0.3333 0.0000  6 O 2.35-2.40
6 Fe 0.0000 0.0000 0.0000  6 O 2.03-2.22
7 O 0.9405 0.6538 0.7741  1 Fe 2.03, 1 Li 2.12
8 O 0.7439 0.7439 0.2463  3 Li 2.04-2.19, 1 Fe 2.22
9 O 0.0595 0.3462 0.2259  1 Fe 2.03, 1 Li 2.12
10 O 0.6538 0.9405 0.7741  1 Fe 2.03, 1 Li 2.12
11 O 0.2561 0.2561 0.7537  3 Li 2.04-2.19, 1 Fe 2.22
12 O 0.3462 0.0595 0.2259  1 Fe 2.03, 1 Li 2.12

Properties
Symmetry ... C2/m, No. 12
E ... -77.71 eV per cell
Total magnetic moment ... 0.246 μB per atom
Calculated density ... 5.19 g/cm³